VASP calculation (PBE) on crystalline LaAu2SeI at its relaxed geometry.

## Properties
The space group is P4/mmm. As for the raw formation energy: 0.127 eV/atom. Its density of states at the Fermi level is 5.4 states/eV per cell. As for the crystal system: tetragonal.

```
data_LaAu2SeI
_chemical_formula_sum 'La1 Au2 Se1 I1'
_cell_length_a 5.792
_cell_length_b 5.744
_cell_length_c 5.792
_cell_angle_alpha 90.00
_cell_angle_beta 90.00
_cell_angle_gamma 90.00
_symmetry_space_group_name_H-M 'P 1'
_symmetry_Int_Tables_number 1
_symmetry_space_group_name_Hall 'P 1'
loop_
_atom_site_label
_atom_site_type_symbol
_atom_site_fract_x
_atom_site_fract_y
_atom_site_fract_z
I1 I 0.500 0.500 0.500
Au1 Au 0.000 0.000 0.500
Au2 Au 0.500 0.000 0.000
Se1 Se 0.000 0.500 0.000
La1 La 0.000 0.000 0.000
```